The following is a DFT calculation (GGA-PBE) of a relaxed structure of PrSm2Os.

```
data_PrSm2Os
_cell_length_a 3.8390
_cell_length_b 3.8390
_cell_length_c 32.0829
_cell_angle_alpha 90.00
_cell_angle_beta 90.00
_cell_angle_gamma 120.00
_space_group_name_H-M_alt 'R -3 m'
_space_group_IT_number 166
_space_group_name_Hall '-R 3 2"'
loop_
_atom_site_label
_atom_site_type_symbol
_atom_site_fract_x
_atom_site_fract_y
_atom_site_fract_z
_atom_site_occupancy
Pr1 Pr 0.0000 0.0000 0.0000 1
Sm1 Sm 0.0000 0.0000 0.1142 1
Os1 Os 0.0000 0.0000 0.5000 1
```

Calculated total energy, eV/atom: -6.046
E above lowest polymorph, kJ per mole of atoms: 42.6
Spin magnetization, μB per cell: 0.011
DFT formation energy, eV per atom: 0.316